The following is a PBE calculation of a geometry-optimized CrCo2Au structure, from Alexandria.

Values from the calculation:
The total energy is -26.10 eV for the cell shown. The value obtained for the total magnetic moment is 3.969 Bohr magnetons per cell. The value obtained for the relative energy among the computed polymorphs is 0.026 eV per atom. The energy relative to the elements comes out at 0.25 eV per atom. As for the density of states at the Fermi level: 4.55 states/eV/f.u. As for the symmetry: Pmm2 (25).

abc: 2.714 3.505 5.467
angles: 90.00 90.00 90.00
Fractional positions:
Cr: 0.000 0.000 0.000
Co: 0.000 0.000 0.583
Co: 0.500 0.500 0.785
Au: 0.500 0.500 0.293


The following is a PBE calculation of a geometry-optimized PuPaPt4 structure, from Alexandria.

Values from the calculation:
The total energy is -53.29 eV for the cell shown. The value obtained for the total magnetic moment is 6.657 Bohr magnetons per cell. The value obtained for the relative energy among the computed polymorphs is 0.000 eV per atom. The energy relative to the elements comes out at -0.88 eV per atom. As for the density of states at the Fermi level: 10.99 states/eV/f.u. As for the symmetry: F-43m (216).

abc: 5.445 5.445 5.445
angles: 60.00 60.00 60.00
Fractional positions:
Pu: 0.000 0.000 0.000
Pa: 0.250 0.250 0.250
Pt: 0.125 0.625 0.625
Pt: 0.625 0.125 0.625
Pt: 0.625 0.625 0.125
Pt: 0.625 0.625 0.625


The following is a PBE calculation of a geometry-optimized Th12Fe2Bi5 structure, from Alexandria.

Values from the calculation:
The total energy is -126.88 eV for the cell shown. The value obtained for the total magnetic moment is 0.000 Bohr magnetons per cell. The energy relative to the elements comes out at -0.08 eV per atom. As for the density of states at the Fermi level: 22.62 states/eV/f.u. As for the symmetry: C2/m (12).

abc: 9.901 9.901 9.837
angles: 106.23 106.23 45.11
Fractional positions:
Th: 0.006 0.006 0.181
Th: 0.114 0.608 0.938
Th: 0.125 0.602 0.467
Th: 0.392 0.886 0.062
Th: 0.398 0.875 0.533
Th: 0.487 0.487 0.748
Th: 0.513 0.513 0.252
Th: 0.602 0.125 0.467
Th: 0.608 0.114 0.938
Th: 0.875 0.398 0.533
Th: 0.886 0.392 0.062
Th: 0.994 0.994 0.819
Fe: 0.315 0.685 0.000
Fe: 0.685 0.315 0.000
Bi: 0.000 0.000 0.500
Bi: 0.282 0.282 0.655
Bi: 0.304 0.304 0.174
Bi: 0.696 0.696 0.826
Bi: 0.718 0.718 0.345


The following is a PBE calculation of a geometry-optimized SrLaCl2 structure, from Alexandria.

Values from the calculation:
The total energy is -16.08 eV for the cell shown. The value obtained for the total magnetic moment is 0.035 Bohr magnetons per cell. The value obtained for the relative energy among the computed polymorphs is 0.135 eV per atom. The formation energy from raw total energies comes out at -1.45 eV/atom. As for the density of states at the Fermi level: 3.13 states/eV/f.u. As for the symmetry: Pmmm (47).

abc: 3.732 4.674 7.357
angles: 90.00 90.00 90.00
Fractional positions:
Sr: 0.000 0.000 0.000
La: 0.500 0.000 0.500
Cl: 0.000 0.500 0.500
Cl: 0.500 0.500 0.000


The following is a PBE calculation of a geometry-optimized Cs2NaMnCl6 structure, from Alexandria.

Values from the calculation:
The total energy is -39.09 eV for the cell shown. The value obtained for the total magnetic moment is 4.000 Bohr magnetons per cell. The formation energy from raw total energies comes out at -1.58 eV/atom. As for the density of states at the Fermi level: 5.28 states/eV/f.u. As for the symmetry: P-3m1 (164).

abc: 7.395 7.395 6.711
angles: 90.00 90.00 120.00
Fractional positions:
Cs: 0.333 0.667 0.290
Cs: 0.667 0.333 0.710
Na: 0.000 0.000 0.000
Mn: 0.000 0.000 0.500
Cl: 0.154 0.307 0.709
Cl: 0.154 0.846 0.709
Cl: 0.307 0.154 0.291
Cl: 0.693 0.846 0.709
Cl: 0.846 0.154 0.291
Cl: 0.846 0.693 0.291


The following is a PBE calculation of a geometry-optimized TlAsAuSe2 structure, from Alexandria.

Values from the calculation:
The total energy is -15.40 eV for the cell shown. The value obtained for the total magnetic moment is 0.000 Bohr magnetons per cell. The value obtained for the relative energy among the computed polymorphs is 0.000 eV per atom. The formation energy from raw total energies comes out at 0.37 eV/atom. As for the density of states at the Fermi level: 3.85 states/eV/f.u. As for the symmetry: P4/mmm (123).

abc: 5.372 5.372 4.889
angles: 90.00 90.00 90.00
Fractional positions:
Tl: 0.000 0.000 0.000
As: 0.500 0.500 0.000
Au: 0.500 0.500 0.500
Se: 0.000 0.500 0.500
Se: 0.500 0.000 0.500


The following is a PBE calculation of a geometry-optimized LiP2Au structure, from Alexandria.

Values from the calculation:
The total energy is -17.36 eV for the cell shown. The value obtained for the total magnetic moment is 0.000 Bohr magnetons per cell. The value obtained for the relative energy among the computed polymorphs is 0.014 eV per atom. The energy relative to the elements comes out at -0.34 eV per atom. As for the symmetry: C2/m (12).

abc: 4.929 4.929 5.713
angles: 114.32 114.32 38.70
Fractional positions:
Li: 0.000 0.000 0.000
P: 0.253 0.253 0.868
P: 0.747 0.747 0.132
Au: 0.000 0.000 0.500


The following is a PBE calculation of a geometry-optimized MoIr2Br structure, from Alexandria.

Values from the calculation:
The total energy is -25.90 eV for the cell shown. The value obtained for the total magnetic moment is 0.000 Bohr magnetons per cell. The value obtained for the relative energy among the computed polymorphs is 0.725 eV per atom. The formation energy from raw total energies comes out at 1.08 eV/atom. As for the density of states at the Fermi level: 6.00 states/eV/f.u. As for the symmetry: Fm-3m (225).

abc: 4.538 4.538 4.538
angles: 60.00 60.00 60.00
Fractional positions:
Mo: 0.000 0.000 0.000
Ir: 0.250 0.250 0.250
Ir: 0.750 0.750 0.750
Br: 0.500 0.500 0.500


The following is a PBE calculation of a geometry-optimized Na2SiBW structure, from Alexandria.

Values from the calculation:
The total energy is -19.73 eV for the cell shown. The value obtained for the total magnetic moment is 4.825 Bohr magnetons per cell. The formation energy from raw total energies comes out at 1.59 eV/atom. As for the density of states at the Fermi level: 1.12 states/eV/f.u. As for the symmetry: P4/mmm (123).

abc: 5.759 5.759 3.622
angles: 90.00 90.00 90.00
Fractional positions:
Na: 0.000 0.500 0.000
Na: 0.500 0.000 0.000
Si: 0.000 0.000 0.000
B: 0.000 0.000 0.500
W: 0.500 0.500 0.500


The following is a PBE calculation of a geometry-optimized MgPaAl2Au4 structure, from Alexandria.

Values from the calculation:
The total energy is -35.50 eV for the cell shown. The value obtained for the total magnetic moment is 0.001 Bohr magnetons per cell. The energy relative to the elements comes out at -0.48 eV per atom. As for the density of states at the Fermi level: 5.16 states/eV/f.u. As for the symmetry: R-3m (166).

abc: 9.161 9.161 9.161
angles: 28.26 28.26 28.26
Fractional positions:
Mg: 0.000 0.000 0.000
Pa: 0.500 0.500 0.500
Al: 0.258 0.258 0.258
Al: 0.742 0.742 0.742
Au: 0.108 0.108 0.108
Au: 0.375 0.375 0.375
Au: 0.625 0.625 0.625
Au: 0.892 0.892 0.892


The following is a PBE calculation of a geometry-optimized LiCuAgCl4 structure, from Alexandria.

Values from the calculation:
The total energy is -44.10 eV for the cell shown. The value obtained for the total magnetic moment is 2.097 Bohr magnetons per cell. The formation energy from raw total energies comes out at -0.83 eV/atom. As for the density of states at the Fermi level: 2.83 states/eV/f.u. As for the symmetry: Imma (74).

abc: 7.471 7.471 7.471
angles: 117.78 117.26 94.35
Fractional positions:
Li: 0.500 0.000 0.000
Li: 0.500 0.500 0.500
Cu: 0.000 0.000 0.000
Cu: 0.500 0.000 0.500
Ag: 0.114 0.364 0.750
Ag: 0.886 0.636 0.250
Cl: 0.250 0.222 0.472
Cl: 0.250 0.778 0.028
Cl: 0.252 0.226 0.027
Cl: 0.301 0.774 0.527
Cl: 0.699 0.226 0.473
Cl: 0.748 0.774 0.973
Cl: 0.750 0.222 0.972
Cl: 0.750 0.778 0.528


The following is a PBE calculation of a geometry-optimized Nd4Hg2Cl structure, from Alexandria.

Values from the calculation:
The total energy is -25.26 eV for the cell shown. The value obtained for the total magnetic moment is 0.000 Bohr magnetons per cell. The formation energy from raw total energies comes out at -0.53 eV/atom. As for the density of states at the Fermi level: 3.66 states/eV/f.u. As for the symmetry: I4/mmm (139).

abc: 8.523 8.523 8.523
angles: 143.31 143.31 52.86
Fractional positions:
Nd: 0.000 0.500 0.500
Nd: 0.189 0.189 0.000
Nd: 0.500 0.000 0.500
Nd: 0.811 0.811 0.000
Hg: 0.385 0.385 0.000
Hg: 0.615 0.615 0.000
Cl: 0.000 0.000 0.000